# YMnNO2 | Alexandria | PBE with a Hubbard U | optimized geometry
data_YMnNO2
_chemical_formula_sum 'Y1 Mn1 N1 O2'
_space_group_name_H-M_alt 'P 4/m m m'
_space_group_IT_number 123
_space_group_name_Hall '-P 4 2'
_cell_length_a 3.802
_cell_length_b 3.802
_cell_length_c 3.881
_cell_angle_alpha 90.00
_cell_angle_beta 90.00
_cell_angle_gamma 90.00
loop_
_atom_site_label
_atom_site_type_symbol
_atom_site_fract_x
_atom_site_fract_y
_atom_site_fract_z
_atom_site_occupancy
Y1 Y 0.000 0.000 0.000 1
Mn1 Mn 0.500 0.500 0.500 1
N1 N 0.500 0.500 0.000 1
O1 O 0.000 0.500 0.500 1
# Calculated density = 5.62 g/cm3
# Size of the total moment = 0.6048 μB per atom
# Final energy = -7.95 eV/atom